1.
VASP calculation (PBE) on a relaxed structure of SmScSe.

a = 3.8013 Å, b = 3.8013 Å, c = 12.7861 Å
α = 90.00°, β = 90.00°, γ = 120.00°
With the nearest neighbours (Å) after each atom.
Element x y z (fractional)
Sm (0.0000, 0.0000, 0.1352)  3 Se 2.88
Sm (0.0000, 0.0000, 0.8648)  3 Se 2.88
Sc (0.3333, 0.6667, 0.4010)  3 Se 2.68
Sc (0.6667, 0.3333, 0.5990)  3 Se 2.68
Se (0.3333, 0.6667, 0.7191)  3 Sc 2.68, 3 Sm 2.88
Se (0.6667, 0.3333, 0.2809)  3 Sc 2.68, 3 Sm 2.88

Calculated values
Space-group type: P-3m1, No. 164
E: -0.4275 Ry per atom
Offset from the most stable computed form: 0.052 eV per atom
D(E_F): 1.99 states/eV/f.u.
Energy relative to the elements, uncorrected: -0.97 eV per atom
Crystal system: trigonal



2.
VASP calculation (PBE) on a relaxed structure of Rb2SrI3Br.

a = 10.4411 Å, b = 10.4411 Å, c = 10.4411 Å
α = 146.87°, β = 144.30°, γ = 49.49°
With the nearest neighbours (Å) after each atom.
Element x y z (fractional)
Rb (0.1390, 0.1390, 0.0000)  3 I 3.59-3.98
Rb (0.8610, 0.8610, 0.0000)  3 I 3.59-3.98
Sr (0.5000, 0.5000, 0.0000)  2 Br 2.98, 4 I 3.20-3.25
I (0.0000, 0.5000, 0.5000)  2 Sr 3.20
I (0.3286, 0.3286, 0.0000)  1 Sr 3.25, 1 Rb 3.59
I (0.6714, 0.6714, 0.0000)  1 Sr 3.25, 1 Rb 3.59
Br (0.5000, 0.0000, 0.5000)  2 Sr 2.98

Calculated values
Space-group type: Immm, No. 71
E: -0.2245 Ry per atom
D(E_F): 0.00 states/eV/f.u.
Energy relative to the elements, uncorrected: -1.63 eV per atom
Crystal system: orthorhombic



3.
VASP calculation (PBE) on a relaxed structure of As2Ru.

a = 4.6020 Å, b = 4.6020 Å, c = 2.7706 Å
α = 90.00°, β = 90.00°, γ = 120.00°
With the nearest neighbours (Å) after each atom.
Element x y z (fractional)
As (0.3333, 0.6667, 0.0129)  3 Ru 2.66, 5 As 2.66-2.77
As (0.6667, 0.3333, 0.9871)  3 Ru 2.66, 5 As 2.66-2.77
Ru (0.0000, 0.0000, 0.0000)  6 As 2.66, 2 Ru 2.77

Calculated values
Formation energy from the elements: 0.23 eV per atom
Space-group type: P-3m1, No. 164
E: -0.4380 Ry per atom
D(E_F): 2.91 states/eV/f.u.
Crystal system: trigonal



4.
VASP calculation (PBE) on a relaxed structure of MgTi4Rh5.

a = 3.1489 Å, b = 3.1489 Å, c = 15.2128 Å
α = 90.00°, β = 90.00°, γ = 90.00°
With the nearest neighbours (Å) after each atom.
Element x y z (fractional)
Mg (0.0000, 0.0000, 0.0000)  8 Rh 2.78, 2 Ti 3.03
Ti (0.0000, 0.0000, 0.1992)  8 Rh 2.61-2.72
Ti (0.0000, 0.0000, 0.4012)  8 Rh 2.69, 1 Ti 3.00
Ti (0.0000, 0.0000, 0.5988)  8 Rh 2.69, 1 Ti 3.00
Ti (0.0000, 0.0000, 0.8008)  8 Rh 2.61-2.72
Rh (0.5000, 0.5000, 0.1092)  4 Ti 2.61, 4 Mg 2.78
Rh (0.5000, 0.5000, 0.3024)  8 Ti 2.69-2.72, 2 Rh 2.94-3.01
Rh (0.5000, 0.5000, 0.5000)  8 Ti 2.69, 2 Rh 3.01
Rh (0.5000, 0.5000, 0.6976)  8 Ti 2.69-2.72, 2 Rh 2.94-3.01
Rh (0.5000, 0.5000, 0.8908)  4 Ti 2.61, 4 Mg 2.78

Calculated values
Formation energy from the elements: -0.76 eV per atom
Space-group type: P4/mmm, No. 123
E: -0.5700 Ry per atom
D(E_F): 7.12 states/eV/f.u.
Crystal system: tetragonal



5.
VASP calculation (PBE) on a relaxed structure of Sr3Zn9Rh2.

a = 8.5591 Å, b = 8.5591 Å, c = 8.5591 Å
α = 150.59°, β = 111.43°, γ = 76.32°
With the nearest neighbours (Å) after each atom.
Element x y z (fractional)
Sr (0.0000, 0.0000, 0.0000)  12 Zn 3.14-3.36
Sr (0.3019, 0.3019, 0.0000)  2 Rh 3.21, 12 Zn 3.22-3.44
Sr (0.6981, 0.6981, 0.0000)  2 Rh 3.21, 12 Zn 3.22-3.44
Zn (0.0059, 0.6571, 0.3489)  2 Zn 2.58, 1 Rh 2.64
Zn (0.1692, 0.8858, 0.2834)  3 Zn 2.58-2.59, 2 Rh 2.68
Zn (0.3082, 0.6571, 0.6511)  2 Zn 2.58, 1 Rh 2.64
Zn (0.3976, 0.1142, 0.2834)  3 Zn 2.58-2.59, 2 Rh 2.68
Zn (0.5000, 0.0000, 0.5000)  4 Zn 2.59, 4 Rh 2.81
Zn (0.6024, 0.8858, 0.7166)  3 Zn 2.58-2.59, 2 Rh 2.68
Zn (0.6918, 0.3429, 0.3489)  2 Zn 2.58, 1 Rh 2.64
Zn (0.8308, 0.1142, 0.7166)  3 Zn 2.58-2.59, 2 Rh 2.68
Zn (0.9941, 0.3429, 0.6511)  2 Zn 2.58, 1 Rh 2.64
Rh (0.3147, 0.5000, 0.8147)  8 Zn 2.64-2.81
Rh (0.6853, 0.5000, 0.1853)  8 Zn 2.64-2.81

Calculated values
Formation energy from the elements: -0.29 eV per atom
Space-group type: Immm, No. 71
E: -0.1852 Ry per atom
D(E_F): 6.28 states/eV/f.u.
Crystal system: orthorhombic



6.
VASP calculation (PBE) on a relaxed structure of CaCu4Au6.

a = 6.7080 Å, b = 6.7080 Å, c = 6.7080 Å
α = 122.53°, β = 122.53°, γ = 85.68°
With the nearest neighbours (Å) after each atom.
Element x y z (fractional)
Ca (0.0000, 0.0000, 0.0000)  8 Au 3.17-3.23, 4 Cu 3.33
Cu (0.2694, 0.2694, 0.7074)  3 Cu 2.51-2.67, 6 Au 2.53-2.79
Cu (0.4380, 0.7306, 0.0000)  3 Cu 2.51-2.67, 6 Au 2.53-2.79
Cu (0.5620, 0.5620, 0.2926)  3 Cu 2.51-2.67, 6 Au 2.53-2.79
Cu (0.7306, 0.4380, 0.0000)  3 Cu 2.51-2.67, 6 Au 2.53-2.79
Au (0.0000, 0.5000, 0.5000)  4 Cu 2.60
Au (0.0902, 0.5285, 0.0000)  4 Cu 2.53-2.79
Au (0.4715, 0.4715, 0.5617)  4 Cu 2.53-2.79
Au (0.5000, 0.0000, 0.5000)  4 Cu 2.60
Au (0.5285, 0.0902, 0.0000)  4 Cu 2.53-2.79
Au (0.9098, 0.9098, 0.4383)  4 Cu 2.53-2.79

Calculated values
Formation energy from the elements: -0.08 eV per atom
Space-group type: I-42m, No. 121
E: -0.2605 Ry per atom
D(E_F): 5.17 states/eV/f.u.
Crystal system: tetragonal



> What is the D(E_F) in the first record?

1.99 states/eV/f.u.